The following is a DFT calculation (PBE) of a geometry-optimized Sm2Ho5Th2 structure.

a b c (Å): 11.885 6.632 10.081
angles (deg): 109.20 126.12 90.00
Fractional positions:
Ho: 0.017 0.656 0.500
Ho: 0.811 0.265 0.108
Ho: 0.983 0.156 0.500
Ho: 0.796 0.765 0.108
Ho: 0.189 0.157 0.892
Ho: 0.416 0.547 0.285
Ho: 0.204 0.657 0.892
Ho: 0.631 0.762 0.715
Ho: 0.584 0.262 0.715
Ho: 0.369 0.047 0.285
Sm: 0.873 0.425 0.749
Sm: 0.377 0.925 0.749
Sm: 0.127 0.675 0.251
Sm: 0.623 0.175 0.251
Th: 0.749 0.836 0.500
Th: 0.251 0.336 0.500
Th: 0.000 0.013 0.000
Th: 0.500 0.513 0.000

- uncorrected energy (eV per atom) = -4.999
- relative energy among the computed polymorphs (eV per atom) = 0.000